Entry 1:
Entry from Alexandria via LeMat-Bulk: a geometry-optimized Sr6H3N2O structure (PBE).

Computed properties:
Space group: No. 12
Total energy (eV per atom): -4.357

Cell lengths 3.8015, 7.6769, 8.5631 Å; angles 103.91, 102.82, 90.00 degrees
Last column: magnetic moment on the atom in μB.
Sites, in units of the cell vectors:
1 H 0.5000 0.5000 0.0000  -0.01
2 H 0.1695 0.8403 0.3391  -0.01
3 H 0.8305 0.1597 0.6609  -0.01
4 Sr 0.9941 0.7620 0.9881  0.06
5 Sr 0.0059 0.2380 0.0119  0.06
6 Sr 0.3387 0.9001 0.6774  0.04
7 Sr 0.3268 0.4331 0.6536  0.04
8 Sr 0.6613 0.0999 0.3226  0.04
9 Sr 0.6732 0.5669 0.3464  0.04
10 N 0.8378 0.6733 0.6757  -0.01
11 N 0.1622 0.3267 0.3243  -0.01
12 O 0.5000 0.0000 0.0000  -0.01

Entry 2:
Entry from Alexandria via LeMat-Bulk: a geometry-optimized Ba3PrY2Te6 structure (PBE).

Computed properties:
Raw formation energy (eV per atom): -1.55
Space group: No. 12

Cell lengths 8.0010, 8.0010, 8.2899 Å; angles 99.28, 99.28, 119.91 degrees
Sites, in units of the cell vectors:
1 Pr 0.0000 0.0000 0.0000
2 Ba 0.1632 0.8368 0.5000
3 Ba 0.8368 0.1632 0.5000
4 Ba 0.5000 0.5000 0.5000
5 Te 0.7299 0.7299 0.2167
6 Te 0.0737 0.4154 0.2204
7 Te 0.5846 0.9263 0.7796
8 Te 0.4154 0.0737 0.2204
9 Te 0.2701 0.2701 0.7833
10 Te 0.9263 0.5846 0.7796
11 Y 0.6680 0.3320 0.0000
12 Y 0.3320 0.6680 0.0000